Density functional theory data (PBE-GGA) for a relaxed SmTmLuIn crystal.

Cell lengths 5.426, 5.426, 5.426 Å; angles 60.00, 60.00, 60.00 degrees
Fractional positions:
Sm: 0.000 0.000 0.000
Tm: 0.500 0.500 0.500
Lu: 0.750 0.750 0.750
In: 0.250 0.250 0.250

Properties
As for the crystal system: cubic. Its calculated total energy is -17.01 eV per cell. The value obtained for the formation energy is -140 meV/atom.